# 1
! IrNF2, optimized geometry, DFT PBE; values from VASP
! * VASP energy: -5.512 eV/atom
! * excess energy over the best structure of this formula in the dataset: 0.000 eV per atom
&SYSTEM
  ibrav = 0, nat = 8, ntyp = 3
/
ATOMIC_SPECIES
N 14.01 N.upf
Ir 192.22 Ir.upf
F 19.00 F.upf
ATOMIC_POSITIONS crystal
N 0.2500 0.7500 0.5000
Ir 0.0000 0.0000 0.0000
N 0.5000 0.5000 0.0000
F 0.3750 0.2037 0.7500
F 0.8750 0.0463 0.7500
F 0.7963 0.1250 0.2500
F 0.9537 0.6250 0.2500
Ir 0.7500 0.2500 0.5000
CELL_PARAMETERS angstrom
-5.8070 1.7654 5.2652
-5.3393 -3.8694 -4.5913
-5.2261 -2.6016 1.2393

***

# 2
! Cs2PaCl3F3, optimized geometry, DFT PBE; values from VASP
! * VASP energy: -5.141 eV/atom
&SYSTEM
  ibrav = 0, nat = 9, ntyp = 4
/
ATOMIC_SPECIES
Cs 132.91 Cs.upf
F 19.00 F.upf
Cl 35.45 Cl.upf
Pa 231.04 Pa.upf
ATOMIC_POSITIONS crystal
Cs 0.5000 0.3333 0.6667
F 0.5000 0.0000 0.8258
Cl 0.0000 0.3341 0.0000
Pa 0.0000 0.0000 0.0000
F 0.5000 0.8258 0.0000
Cl 0.0000 0.0000 0.3341
F 0.5000 0.1742 0.1742
Cs 0.5000 0.6667 0.3333
Cl 0.0000 0.6659 0.6659
CELL_PARAMETERS angstrom
3.8079 0.0000 0.0000
0.0000 8.4921 0.0000
0.0000 -4.2460 7.3543

***

no.,raw formation energy (eV/atom)
1,-0.28
2,-2.66